A plane-wave DFT calculation with PBE-GGA was carried out for a relaxed structure of Tm6P5S.

Unit cell a=6.8119 b=11.7903 c=6.8151 alpha=90.00 beta=109.46 gamma=90.00
Space group C2/m (No. 12)
Asymmetric unit:
Tm  0.2470  0.0000  0.2527 x4
Tm  0.2472  0.1687  0.7476 x8
P  0.0000  0.0000  0.5000 x2
P  0.0000  0.1669  0.0000 x4
P  0.0000  0.3346  0.5000 x4
S  0.0000  0.5000  0.0000 x2

Properties
Energy relative to the elements, uncorrected = -1.72 eV/atom
Total magnetization = 0.00 μB/f.u.